Compound: LiMoF6
Source: Alexandria
Functional: GGA+U
Structure: relaxed

Cell and atoms, written as POSCAR:
```
LiMoF6
1.0
5.251 0.037 0.053
2.647 4.558 0.065
2.672 1.560 4.710
F Li Mo
6 1 1
direct
0.662 0.236 0.246
0.138 0.352 0.754
0.758 0.135 0.765
0.242 0.865 0.235
0.338 0.764 0.754
0.862 0.648 0.246
0.500 0.500 0.500
0.000 0.000 0.000
```

Output
As for the energy above the most stable polymorph in this dataset: 0 meV/atom. Its raw total energy is -5.122 eV/atom. The theoretical density is 3.2 g cm⁻³.